Compound: TlP2SBr
Source: Alexandria
Functional: PBE
Structure: optimized geometry

```
TlP2SBr
1.0
4.975 0.000 0.000
0.000 4.975 0.000
0.000 0.000 5.153
P Tl S Br
2 1 1 1
direct
0.000 0.500 0.000 P
0.500 0.000 0.000 P
0.500 0.500 0.500 Tl
0.000 0.000 0.500 S
0.000 0.000 0.000 Br
```

SG: P4/mmm (123)
total energy: -2.693 eV/atom
calculated density: 4.93 g/cm3
polymorph energy (0 for the lowest one): 620 meV per atom
formation energy from raw total energies: 1.105 eV/atom

---

Compound: Cu2WSe
Source: Alexandria
Functional: PBE
Structure: optimized geometry

```
Cu2WSe
1.0
-5.819 3.058 -5.888
-4.534 1.100 -7.491
-6.665 0.352 -5.773
Cu Se W
2 1 1
direct
0.000 0.000 0.000 Cu
0.500 0.500 0.500 Cu
0.250 0.250 0.250 Se
0.750 0.750 0.750 W
```

SG: R-3m (166)
total energy: -5.724 eV/atom
calculated density: 10.71 g/cm3
formation energy from raw total energies: 0.433 eV/atom

---

Compound: CsLiMn2I8
Source: Alexandria
Functional: PBE
Structure: optimized geometry

```
CsLiMn2I8
1.0
-5.645 -2.870 3.841
-0.363 0.384 -7.388
4.342 -9.484 -0.706
I Mn Li Cs
8 2 1 1
direct
0.001 0.327 0.671 I
0.673 0.674 0.671 I
0.667 0.333 0.007 I
0.674 0.001 0.329 I
0.327 0.326 0.329 I
0.333 0.667 0.993 I
0.326 0.999 0.671 I
0.999 0.673 0.329 I
0.667 0.333 0.255 Mn
0.333 0.667 0.745 Mn
0.000 0.000 0.500 Li
0.000 0.000 0.000 Cs
```

SG: P-3 (147)
total energy: -3.429 eV/atom
calculated density: 4.23 g/cm3
formation energy from raw total energies: -0.637 eV/atom

---

Compound: CuAg2Rh
Source: Alexandria
Functional: PBE
Structure: optimized geometry

```
CuAg2Rh
1.0
3.027 0.000 0.000
0.000 4.502 0.000
0.000 0.000 4.581
Cu Rh Ag
1 1 2
direct
0.500 0.000 0.500 Cu
0.000 0.500 0.500 Rh
0.000 0.000 0.000 Ag
0.500 0.500 0.000 Ag
```

SG: Pmmm (47)
total energy: -4.066 eV/atom
calculated density: 10.17 g/cm3
polymorph energy (0 for the lowest one): 76 meV per atom
ΔE_f: 0.22 eV per atom